[1]
DFT (PBE-GGA) results for an optimized crystal structure of MnSeBr4.

Fermi-level density of states = 0.96 states/eV/atom
final energy = -56.5 eV for the cell shown

Lattice parameters (Å, degrees): 8.697 8.697 8.697 90.00 90.00 90.00
Space group F-43m (No. 216)
Unique sites:
Mn 0.000 0.000 0.000 x4
Se 0.250 0.250 0.750 x4
Br 0.125 0.125 0.375 x16

[2]
DFT (PBE-GGA) results for an optimized crystal structure of Tm4ZrRh3.

Fermi-level density of states = 0.78 states/eV/atom
energy of formation = -742 meV/atom
final energy = -217.7 eV for the cell shown

Lattice parameters (Å, degrees): 10.808 10.808 5.901 90.00 90.00 90.00
Space group I4/mcm (No. 140)
Unique sites:
Tm 0.081 0.213 0.000 x16
Zr 0.000 0.500 0.250 x4
Rh 0.000 0.000 0.250 x4
Rh 0.157 0.343 0.500 x8

[3]
DFT (PBE-GGA) results for an optimized crystal structure of YMg2Fe.

Fermi-level density of states = 2.24 states/eV/atom
energy of formation = 221 meV/atom
final energy = -68.9 eV for the cell shown

Lattice parameters (Å, degrees): 6.969 6.969 6.969 90.00 90.00 90.00
Space group F-43m (No. 216)
Unique sites:
Y 0.000 0.000 0.000 x4
Mg 0.000 0.000 0.500 x4
Mg 0.250 0.250 0.250 x4
Fe 0.250 0.250 0.750 x4